Here is a geometry-optimized ZrV2 structure from Alexandria. Energies are from GGA-PBEsol.

Summary:
Crystal system: cubic

a = 5.1245 Å, b = 5.1245 Å, c = 5.1245 Å
α = 60.00°, β = 60.00°, γ = 60.00°
Last column: nearest neighbours and their distance in Å.
Positions (direct):
Zr (0.1250, 0.1250, 0.1250)  12 V 3.00, 4 Zr 3.14
Zr (0.8750, 0.8750, 0.8750)  12 V 3.00, 4 Zr 3.14
V (0.0000, 0.5000, 0.5000)  6 V 2.56
V (0.5000, 0.0000, 0.5000)  6 V 2.56
V (0.5000, 0.5000, 0.0000)  6 V 2.56
V (0.5000, 0.5000, 0.5000)  6 V 2.56

***

Here is a geometry-optimized W structure from Alexandria. Energies are from GGA-PBEsol.

Summary:
ΔE to the lowest computed polymorph (eV/atom): 0.000
Crystal system: cubic

a = 2.7299 Å, b = 2.7299 Å, c = 2.7299 Å
α = 109.47°, β = 109.47°, γ = 109.47°
Last column: nearest neighbours and their distance in Å.
Positions (direct):
W (0.0000, 0.0000, 0.0000)  8 W 2.73

***

Here is a geometry-optimized W structure from Alexandria. Energies are from GGA-PBEsol.

Summary:
ΔE to the lowest computed polymorph (eV/atom): 0.100
Crystal system: cubic

a = 5.0320 Å, b = 5.0320 Å, c = 5.0320 Å
α = 90.00°, β = 90.00°, γ = 90.00°
Last column: nearest neighbours and their distance in Å.
Positions (direct):
W (0.0000, 0.0000, 0.0000)  12 W 2.81
W (0.0000, 0.2500, 0.5000)  6 W 2.52-2.81
W (0.0000, 0.7500, 0.5000)  6 W 2.52-2.81
W (0.2500, 0.5000, 0.0000)  6 W 2.52-2.81
W (0.5000, 0.0000, 0.2500)  6 W 2.52-2.81
W (0.5000, 0.0000, 0.7500)  6 W 2.52-2.81
W (0.5000, 0.5000, 0.5000)  12 W 2.81
W (0.7500, 0.5000, 0.0000)  6 W 2.52-2.81

***

| no. | uncorrected energy (eV/atom) | total magnetization (μB per atom) | E_form (eV per formula unit) |
| --- | --- | --- | --- |
| 1 | -9.406 | 0.000 | 0.142 |
| 2 | -13.808 | 0.000 | 0.000 |
| 3 | -13.708 | 0.000 | 0.100 |